# Pm2GeS

A relaxed structure of Pm2GeS (PBE-GGA, OQMD via LeMat-Bulk).

Structure (POSCAR):
```
Pm2GeS
1.0
4.154 0.000 0.000
0.000 4.154 0.000
0.000 0.000 5.869
Pm Ge S
2 1 1
direct
0.000 0.000 0.000 Pm
0.500 0.500 0.500 Pm
0.000 0.000 0.500 Ge
0.500 0.500 0.000 S
```

Output
The total energy is -6.05 eV per atom.